No. 1
A plane-wave DFT calculation with PBE was carried out for an optimized crystal structure of PSe3.

Unit cell a=6.851 b=6.851 c=6.851 alpha=32.63 beta=32.63 gamma=32.63
Positions (direct):
P1 0.000 0.000 0.000
Se1 0.258 0.258 0.258
Se2 0.500 0.500 0.500
Se3 0.742 0.742 0.742

Results
Energy relative to the elements, uncorrected in meV/atom: 227
Excess energy over the best structure of this formula in the dataset in kJ/mol of formula units: 0



No. 2
A plane-wave DFT calculation with PBE was carried out for an optimized crystal structure of Cs2As2Pt.

Unit cell a=6.892 b=7.719 c=8.864 alpha=115.81 beta=112.88 gamma=90.00
Positions (direct):
Cs1 0.148 0.990 0.296
Cs2 0.852 0.010 0.704
Cs3 0.352 0.694 0.704
Cs4 0.648 0.306 0.296
As1 0.588 0.744 0.177
As2 0.412 0.256 0.823
As3 0.912 0.567 0.823
As4 0.088 0.433 0.177
Pt1 0.250 0.500 0.000
Pt2 0.750 0.500 0.000

Results
Energy relative to the elements in eV/atom: -0.373



No. 3
A plane-wave DFT calculation with PBE was carried out for an optimized crystal structure of CdInB.

Unit cell a=6.563 b=5.620 c=3.828 alpha=109.81 beta=107.06 gamma=85.17
Positions (direct):
B1 0.511 0.665 0.626
B2 0.529 0.969 0.790
In1 0.725 0.668 0.235
In2 0.439 0.234 0.376
Cd1 0.156 0.815 0.525
Cd2 0.918 0.153 0.072

Results
Energy relative to the elements in eV/atom: 0.463



Number 1: magnetic moment 0.0 μB per formula unit. Number 2: magnetic moment 0.0 μB per formula unit. Number 3: magnetic moment 0.0 μB per formula unit.